Entry from Alexandria: crystalline Pr5Cd2Hg at its relaxed geometry (PBE-GGA).

Unit cell a=7.978 b=7.978 c=15.909 alpha=90.00 beta=90.00 gamma=90.00
Space group I4/mcm (No. 140)
Asymmetric unit:
Pr (0.000, 0.000, 0.000) (multiplicity 4)
Pr (0.165, 0.335, 0.156) (multiplicity 16)
Cd (0.127, 0.373, 0.500) (multiplicity 8)
Hg (0.000, 0.000, 0.250) (multiplicity 4)

Properties
calculated volume: 31.65 Å³ per atom
calculated density: 7.41 g cm⁻³
E above lowest polymorph: 29 meV per atom
spin magnetization: 0.00 μB/f.u.

Entry from Alexandria: crystalline BaSnHgSe3 at its relaxed geometry (PBE-GGA).

Unit cell a=9.149 b=4.385 c=10.052 alpha=90.00 beta=95.91 gamma=90.00
Space group P2_1/m (No. 11)
Asymmetric unit:
Ba (0.154, 0.250, 0.205) (multiplicity 2)
Sn (0.364, 0.750, 0.862) (multiplicity 2)
Hg (0.122, 0.250, 0.604) (multiplicity 2)
Se (0.122, 0.250, 0.868) (multiplicity 2)
Se (0.204, 0.750, 0.473) (multiplicity 2)
Se (0.403, 0.750, 0.133) (multiplicity 2)

Properties
calculated volume: 33.43 Å³ per atom
calculated density: 5.74 g cm⁻³
formation energy (no corrections): -0.86 eV/atom
spin magnetization: 0.00 μB/f.u.

Entry from Alexandria: crystalline Re2SiBr at its relaxed geometry (PBE-GGA).

Unit cell a=2.889 b=4.386 c=10.338 alpha=90.00 beta=90.00 gamma=90.00
Space group Immm (No. 71)
Asymmetric unit:
Re (0.000, 0.000, 0.201) (multiplicity 4)
Si (0.000, 0.500, 0.500) (multiplicity 2)
Br (0.000, 0.500, 0.000) (multiplicity 2)

Properties
calculated volume: 16.38 Å³ per atom
calculated density: 12.18 g cm⁻³
E above lowest polymorph: 500 meV per atom
formation energy (no corrections): 0.79 eV/atom
spin magnetization: 0.00 μB/f.u.